No. 1
Cu3Ag: relaxed, GGA-PBE.

Lattice parameters (Å, degrees): 8.7899 8.7899 4.6241 94.60 94.60 17.54
Positions (direct):
Ag 0.3185 0.3185 0.4331
Ag 0.6815 0.6815 0.5669
Cu 0.1847 0.1847 0.0618
Cu 0.5610 0.5610 0.1767
Cu 0.9449 0.9449 0.3055
Cu 0.0551 0.0551 0.6945
Cu 0.4390 0.4390 0.8233
Cu 0.8153 0.8153 0.9382

Computed properties:
Energy of formation from the pure elements, eV per atom: 0.0866
Space group: C2/m (12)



No. 2
TbPPdO: relaxed, GGA-PBE.

Lattice parameters (Å, degrees): 4.0559 4.0559 7.8270 90.00 90.00 90.00
Positions (direct):
O 0.5000 0.0000 0.0000
O 0.0000 0.5000 0.0000
P 0.5000 0.5000 0.3361
P 0.0000 0.0000 0.6639
Pd 0.5000 0.0000 0.5000
Pd 0.0000 0.5000 0.5000
Tb 0.0000 0.0000 0.1348
Tb 0.5000 0.5000 0.8652

Computed properties:
Energy above the most stable polymorph in this dataset, meV per atom: 0
Space group: P4/nmm (129)



No. 3
Na2Gd2B2O7: relaxed, GGA-PBE.

Lattice parameters (Å, degrees): 10.6074 6.2680 10.2460 90.00 117.86 90.00
Positions (direct):
B 0.6804 0.7481 0.0788
B 0.2104 0.6519 0.1494
B 0.7896 0.1519 0.3506
B 0.3196 0.2481 0.4212
B 0.6804 0.7519 0.5788
B 0.2104 0.8481 0.6494
B 0.7896 0.3481 0.8506
B 0.3196 0.2519 0.9212
Gd 0.1859 0.0803 0.0889
Gd 0.9827 0.4607 0.1810
Gd 0.0173 0.9607 0.3190
Gd 0.8141 0.5803 0.4111
Gd 0.1859 0.4197 0.5889
Gd 0.9827 0.0393 0.6810
Gd 0.0173 0.5393 0.8190
Gd 0.8141 0.9197 0.9111
Na 0.6108 0.2714 0.0494
Na 0.4745 0.4392 0.2391
Na 0.5255 0.9392 0.2609
Na 0.3892 0.7714 0.4506
Na 0.6108 0.2286 0.5494
Na 0.4745 0.0608 0.7391
Na 0.5255 0.5608 0.7609
Na 0.3892 0.7286 0.9506
O 0.4015 0.1635 0.0578
O 0.1508 0.4567 0.0868
O 0.9732 0.1239 0.0964
O 0.8296 0.7642 0.1339
O 0.3188 0.7434 0.1343
O 0.6260 0.6444 0.1595
O 0.1528 0.7576 0.2299
O 0.8472 0.2576 0.2701
O 0.3740 0.1444 0.3405
O 0.6812 0.2434 0.3657
O 0.1704 0.2642 0.3661
O 0.0268 0.6239 0.4036
O 0.8492 0.9567 0.4132
O 0.5985 0.6635 0.4422
O 0.4015 0.3365 0.5578
O 0.1508 0.0433 0.5868
O 0.9732 0.3761 0.5964
O 0.8296 0.7358 0.6339
O 0.3188 0.7566 0.6343
O 0.6260 0.8556 0.6595
O 0.1528 0.7424 0.7299
O 0.8472 0.2424 0.7701
O 0.3740 0.3556 0.8405
O 0.6812 0.2566 0.8657
O 0.1704 0.2358 0.8661
O 0.0268 0.8761 0.9036
O 0.8492 0.5433 0.9132
O 0.5985 0.8365 0.9422

Computed properties:
Space group: P2_1/c (14)



No. 4
SmSiOs: relaxed, GGA-PBE.

Lattice parameters (Å, degrees): 4.6329 4.6329 4.6329 60.00 60.00 60.00
Positions (direct):
Os 0.2500 0.2500 0.2500
Si 0.7500 0.7500 0.7500
Sm 0.0000 0.0000 0.0000

Computed properties:
Space group: F-43m (216)



No. 5
HfCuPbAu: relaxed, GGA-PBE.

Lattice parameters (Å, degrees): 4.8112 4.8112 4.8112 60.00 60.00 60.00
Positions (direct):
Au 0.2500 0.2500 0.2500
Cu 0.7500 0.7500 0.7500
Hf 0.5000 0.5000 0.5000
Pb 0.0000 0.0000 0.0000

Computed properties:
Energy above the most stable polymorph in this dataset, meV per atom: 14
Space group: F-43m (216)



No. 6
Sr7ZrSi6O21: relaxed, GGA-PBE.

Lattice parameters (Å, degrees): 8.3867 8.4074 8.4149 106.17 106.32 106.10
Positions (direct):
O 0.5000 0.0000 0.0000
O 0.0000 0.5000 0.0000
O 0.4538 0.6775 0.0112
O 0.7576 0.8722 0.0178
O 0.9788 0.2411 0.1252
O 0.1266 0.9809 0.2421
O 0.2901 0.5410 0.2518
O 0.5470 0.2567 0.2897
O 0.9917 0.5466 0.3228
O 0.6764 0.0095 0.4534
O 0.7475 0.7104 0.4574
O 0.0000 0.0000 0.5000
O 0.2525 0.2896 0.5426
O 0.3236 0.9905 0.5466
O 0.0083 0.4534 0.6772
O 0.4530 0.7433 0.7103
O 0.7099 0.4590 0.7482
O 0.8734 0.0191 0.7579
O 0.0212 0.7589 0.8748
O 0.2424 0.1278 0.9822
O 0.5462 0.3225 0.9888
Si 0.4609 0.1863 0.0746
Si 0.0747 0.4588 0.1849
Si 0.1858 0.0747 0.4598
Si 0.8142 0.9253 0.5402
Si 0.9253 0.5412 0.8151
Si 0.5391 0.8137 0.9254
Sr 0.7544 0.6313 0.1515
Sr 0.3671 0.8467 0.2455
Sr 0.8506 0.2451 0.3690
Sr 0.5000 0.5000 0.5000
Sr 0.1494 0.7549 0.6310
Sr 0.6329 0.1533 0.7545
Sr 0.2456 0.3687 0.8485
Zr 0.0000 0.0000 0.0000

Computed properties:
Space group: P-1 (2)



No. 7
HfMgIr: relaxed, GGA-PBE.

Lattice parameters (Å, degrees): 4.4693 4.4693 4.4693 60.00 60.00 60.00
Positions (direct):
Hf 0.0000 0.0000 0.0000
Ir 0.2500 0.2500 0.2500
Mg 0.7500 0.7500 0.7500

Computed properties:
Space group: F-43m (216)



No. 8
ZrAg2Pd: relaxed, GGA-PBE.

Lattice parameters (Å, degrees): 4.6547 4.6547 4.6547 60.00 60.00 60.00
Positions (direct):
Ag 0.0000 0.0000 0.0000
Ag 0.7500 0.7500 0.7500
Pd 0.5000 0.5000 0.5000
Zr 0.2500 0.2500 0.2500

Computed properties:
Energy of formation from the pure elements, eV per atom: -0.2224
Space group: F-43m (216)



No. 9
Pr2Ho2Ni: relaxed, GGA-PBE.

Lattice parameters (Å, degrees): 5.2837 5.2837 11.0093 90.00 90.00 120.00
Positions (direct):
Ho 0.0000 0.0000 0.0000
Ho 0.6667 0.3333 0.2500
Ho 0.0000 0.0000 0.5000
Ho 0.3333 0.6667 0.7500
Ni 0.0000 0.0000 0.2500
Ni 0.0000 0.0000 0.7500
Pr 0.3333 0.6667 0.0977
Pr 0.3333 0.6667 0.4023
Pr 0.6667 0.3333 0.5977
Pr 0.6667 0.3333 0.9023

Computed properties:
Energy of formation from the pure elements, eV per atom: 0.0658
Space group: P6_3/mmc (194)



No. 10
HfBeInCo: relaxed, GGA-PBE.

Lattice parameters (Å, degrees): 4.4479 4.4479 4.4479 60.00 60.00 60.00
Positions (direct):
Be 0.7500 0.7500 0.7500
Co 0.5000 0.5000 0.5000
Hf 0.2500 0.2500 0.2500
In 0.0000 0.0000 0.0000

Computed properties:
Energy above the most stable polymorph in this dataset, meV per atom: 295
Space group: F-43m (216)



No. 11
CuAsOsW: relaxed, GGA-PBE.

Lattice parameters (Å, degrees): 4.3834 4.3834 4.3834 60.00 60.00 60.00
Positions (direct):
As 0.0000 0.0000 0.0000
Cu 0.7500 0.7500 0.7500
Os 0.5000 0.5000 0.5000
W 0.2500 0.2500 0.2500

Computed properties:
Energy above the most stable polymorph in this dataset, meV per atom: 0
Space group: F-43m (216)



No. 12
RbDySO: relaxed, GGA-PBE.

Lattice parameters (Å, degrees): 4.3887 8.2914 6.5998 90.00 90.00 90.00
Positions (direct):
Dy 0.5000 0.8751 0.0432
Dy 0.5000 0.1249 0.5432
O 0.5000 0.0830 0.2268
O 0.5000 0.9170 0.7268
Rb 0.0000 0.3086 0.1058
Rb 0.0000 0.6914 0.6058
S 0.0000 0.7056 0.1152
S 0.0000 0.2944 0.6152

Computed properties:
Energy above the most stable polymorph in this dataset, meV per atom: 78
Space group: Pmc2_1 (26)



Number 1: energy -0.2504 Ry/atom. Number 2: energy -0.5092 Ry/atom. Number 3: energy -0.5437 Ry/atom. Number 4: energy -0.4488 Ry/atom. Number 5: energy -0.3762 Ry/atom. Number 6: energy -0.5522 Ry/atom. Number 7: energy -0.4874 Ry/atom. Number 8: energy -0.3723 Ry/atom. Number 9: energy -0.3519 Ry/atom. Number 10: energy -0.4199 Ry/atom. Number 11: energy -0.5653 Ry/atom. Number 12: energy -0.4309 Ry/atom.